Record 1
This record from the Alexandria database describes an optimized crystal structure of Ce2ThAgC. The functional is PBE-GGA.

The structure in POSCAR format:
```
Ce2ThAgC
1.0
4.939 0.000 0.000
0.000 4.939 0.000
0.000 0.000 5.045
Ce Th Ag C
2 1 1 1
Direct
0.000 0.500 0.000
0.500 0.000 0.000
0.000 0.000 0.500
0.500 0.500 0.500
0.000 0.000 0.000
```

Properties
* calculated formation energy: -0.07 eV per atom
* calculated volume: 123.06 Å³/cell
* total magnetization: 0.94 μB/f.u.

=====

Record 2
This record from the Alexandria database describes an optimized crystal structure of Tm2Sc13. The functional is PBE-GGA.

The structure in POSCAR format:
```
Tm2Sc13
1.0
6.085 0.000 0.000
1.238 8.185 0.000
1.299 3.212 7.532
Tm Sc
2 13
Direct
0.086 0.298 0.419
0.914 0.702 0.581
0.000 0.500 0.000
0.110 0.949 0.749
0.192 0.713 0.186
0.289 0.122 0.987
0.335 0.440 0.655
0.395 0.902 0.400
0.484 0.669 0.840
0.516 0.331 0.160
0.605 0.098 0.600
0.665 0.560 0.345
0.711 0.878 0.013
0.808 0.287 0.814
0.890 0.051 0.251
```

Properties
* calculated formation energy: 0.06 eV per atom
* calculated volume: 375.14 Å³/cell
* total magnetization: 0.00 μB/f.u.

=====

Record 3
This record from the Alexandria database describes an optimized crystal structure of LaTb3Ho2. The functional is PBE-GGA.

The structure in POSCAR format:
```
LaTb3Ho2
1.0
1.800 -9.332 0.000
1.800 9.332 0.000
0.000 0.000 11.624
La Tb Ho
2 6 4
Direct
0.220 0.780 0.750
0.780 0.220 0.250
0.108 0.892 0.250
0.335 0.665 0.503
0.335 0.665 0.997
0.665 0.335 0.003
0.665 0.335 0.497
0.892 0.108 0.750
0.000 0.000 0.000
0.000 0.000 0.500
0.447 0.553 0.250
0.553 0.447 0.750
```

Properties
* ΔE to the lowest computed polymorph: 0.000 eV/atom
* calculated formation energy: 0.01 eV per atom
* calculated volume: 390.54 Å³/cell
* total magnetization: 0.00 μB/f.u.

=====

Record 4
This record from the Alexandria database describes an optimized crystal structure of Np2HgPt. The functional is PBE-GGA.

The structure in POSCAR format:
```
Np2HgPt
1.0
3.847 0.000 0.000
0.000 3.847 0.000
0.000 0.000 6.171
Np Hg Pt
2 1 1
Direct
0.000 0.000 0.220
0.000 0.000 0.780
0.500 0.500 0.500
0.500 0.500 0.000
```

Properties
* calculated formation energy: -0.06 eV per atom
* calculated volume: 91.32 Å³/cell
* total magnetization: 8.55 μB/f.u.

=====

Record 5
This record from the Alexandria database describes an optimized crystal structure of Ac4PrCd. The functional is PBE-GGA.

The structure in POSCAR format:
```
Ac4PrCd
1.0
0.000 5.058 5.058
5.058 0.000 5.058
5.058 5.058 0.000
Ac Pr Cd
4 1 1
Direct
0.125 0.125 0.125
0.125 0.125 0.624
0.125 0.624 0.125
0.624 0.125 0.125
0.750 0.750 0.750
0.500 0.500 0.500
```

Properties
* ΔE to the lowest computed polymorph: 0.454 eV/atom
* calculated formation energy: 0.37 eV per atom
* calculated volume: 258.79 Å³/cell
* total magnetization: 0.00 μB/f.u.

=====

Q: The highest calculated volume belongs to which entry?
A: LaTb3Ho2